Entry from Alexandria: KCa4W after structural relaxation (GGA-PBEsol).

The structure in POSCAR format:
```
KCa4W
1.0
6.756 0.000 0.000
3.378 5.851 0.000
3.378 1.950 5.516
Ca K W
4 1 1
Cartesian
5.049 2.915 2.061
6.756 3.900 4.848
8.462 2.915 2.061
6.756 5.871 2.061
10.134 5.851 4.137
0.000 0.000 0.000
```

***

Entry from Alexandria: KCaW2 after structural relaxation (GGA-PBEsol).

The structure in POSCAR format:
```
KCaW2
1.0
3.179 0.000 0.000
0.000 4.448 0.000
-1.590 -2.224 5.687
Ca K W
1 1 2
Cartesian
1.590 0.000 0.000
0.000 2.224 0.000
1.590 2.224 2.919
0.000 0.000 2.767
```

Summary:
energy above the most stable polymorph in this dataset: 0.4335 eV per atom

***

Entry from Alexandria: KCa2W after structural relaxation (GGA-PBEsol).

The structure in POSCAR format:
```
KCa2W
1.0
-0.485 1.376 -2.710
-2.726 -1.413 -0.219
-5.305 9.356 5.699
Ca K W
2 1 1
Cartesian
-0.227 0.400 0.244
-5.692 7.189 2.926
-2.447 4.316 2.629
-2.802 2.093 -0.179
```

***

Entry from Alexandria: KCaW2 after structural relaxation (GGA-PBEsol).

The structure in POSCAR format:
```
KCaW2
1.0
3.012 0.011 0.000
-1.200 2.763 0.000
0.000 0.000 11.227
Ca K W
1 1 2
Cartesian
0.000 0.000 6.194
0.906 1.387 2.462
0.000 0.000 10.644
0.906 1.387 8.767
```

Summary:
energy above the most stable polymorph in this dataset: 0.0000 eV per atom

***

Entry from Alexandria: KCaW2 after structural relaxation (GGA-PBEsol).

The structure in POSCAR format:
```
KCaW2
1.0
2.755 -0.006 0.000
-1.152 5.181 0.000
-0.801 -2.588 5.651
Ca K W
1 1 2
Cartesian
-0.576 2.591 0.000
1.377 -0.003 0.000
0.401 1.294 2.825
-0.401 -1.294 2.825
```

Summary:
energy above the most stable polymorph in this dataset: 0.4589 eV per atom

***

Entry from Alexandria: KCaW3 after structural relaxation (GGA-PBEsol).

The structure in POSCAR format:
```
KCaW3
1.0
-1.100 4.440 -0.818
-4.477 -0.963 0.792
0.587 0.976 4.505
Ca K W
1 1 3
Cartesian
-2.495 2.227 2.239
0.000 0.000 0.000
-2.238 -0.481 0.396
0.294 0.488 2.253
-0.550 2.220 -0.409
```

***

Entry from Alexandria: K2CaY after structural relaxation (GGA-PBEsol).

The structure in POSCAR format:
```
K2CaY
1.0
-4.101 2.654 1.811
-0.935 -3.795 3.445
6.469 3.638 1.824
Ca K Y
1 2 1
Cartesian
0.000 0.000 0.000
-0.075 2.861 3.131
1.508 -0.363 3.948
-2.518 -0.570 2.628
```

Summary:
energy above the most stable polymorph in this dataset: 0.1177 eV per atom

***

Entry from Alexandria: KCaY3 after structural relaxation (GGA-PBEsol).

The structure in POSCAR format:
```
KCaY3
1.0
5.497 0.000 0.000
0.000 5.497 0.000
0.000 0.000 5.497
Y Ca K
3 1 1
Cartesian
0.000 2.748 0.000
0.000 0.000 2.748
2.748 0.000 0.000
2.748 2.748 2.748
0.000 0.000 0.000
```

***

D(E_F)? In order: 4.9, 3.1, 3.6, 3.3, 3.6, 5.2, 4.5, 2.2 states/eV per cell.
Size of the total moment? In order: 4.5, 0.0, 0.0, 0.0, 0.0, 0.0, 0.0, 0.0 Bohr magnetons per cell.
DFT formation energy? In order: 1167, 1382, 1041, 949, 1408, 3354, 487, 955 meV per atom.